i.
First-principles (PBE) data for crystalline LiB6C6 at its relaxed geometry, as listed in the Alexandria database.

```
data_LiB6C6
_chemical_formula_sum 'Li1 B6 C6'
_cell_length_a 2.7313
_cell_length_b 2.7313
_cell_length_c 17.1989
_cell_angle_alpha 90.00
_cell_angle_beta 90.00
_cell_angle_gamma 120.00
_space_group_name_H-M_alt 'P -3 m 1'
_space_group_IT_number 164
_space_group_name_Hall '-P 3 2"'
loop_
_atom_site_label
_atom_site_type_symbol
_atom_site_fract_x
_atom_site_fract_y
_atom_site_fract_z
Li1 Li 0.0000 0.0000 0.0000
B1 B 0.3333 0.6667 0.1014
B2 B 0.3333 0.6667 0.4073
B3 B 0.3333 0.6667 0.7068
C1 C 0.3333 0.6667 0.2910
C2 C 0.3333 0.6667 0.5901
C3 C 0.3333 0.6667 0.9016
```

=====

ii.
First-principles (PBE) data for crystalline LiB6C6 at its relaxed geometry, as listed in the Alexandria database.

```
data_LiB6C6
_chemical_formula_sum 'Li1 B6 C6'
_cell_length_a 4.7367
_cell_length_b 4.7367
_cell_length_c 5.6488
_cell_angle_alpha 90.00
_cell_angle_beta 90.00
_cell_angle_gamma 120.00
_space_group_name_H-M_alt 'P -3 1 m'
_space_group_IT_number 162
_space_group_name_Hall '-P 3 2'
loop_
_atom_site_label
_atom_site_type_symbol
_atom_site_fract_x
_atom_site_fract_y
_atom_site_fract_z
Li1 Li 0.0000 0.0000 0.0000
B1 B 0.0000 0.3355 0.6816
C1 C 0.0000 0.3329 0.3083
```

=====

Q: Which of them is the least stable? A: ii.

=====

i.
First-principles (PBE) data for crystalline LiB6C6 at its relaxed geometry, as listed in the Alexandria database.

```
data_LiB6C6
_chemical_formula_sum 'Li2 B12 C12'
_cell_length_a 13.1443
_cell_length_b 2.7304
_cell_length_c 7.8109
_cell_angle_alpha 90.00
_cell_angle_beta 123.53
_cell_angle_gamma 90.00
_space_group_name_H-M_alt 'C 1 2/m 1'
_space_group_IT_number 12
loop_
_space_group_symop_operation_xyz
'x,y,z'
'-x,-y,-z'
'-x,y,-z'
'x,-y,z'
'x+1/2,y+1/2,z'
'-x+1/2,-y+1/2,-z'
'-x+1/2,y+1/2,-z'
'x+1/2,-y+1/2,z'
loop_
_atom_site_label
_atom_site_type_symbol
_atom_site_fract_x
_atom_site_fract_y
_atom_site_fract_z
Li1 Li 0.0000 0.0000 0.0000
B1 B 0.0283 0.0000 0.7128
B2 B 0.1418 0.5000 0.6424
B3 B 0.1667 0.5000 0.0689
C1 C 0.0659 0.5000 0.8334
C2 C 0.0711 0.0000 0.5377
C3 C 0.2233 0.0000 0.1758
```

=====

ii.
First-principles (PBE) data for crystalline LiB6C6 at its relaxed geometry, as listed in the Alexandria database.

```
data_LiB6C6
_chemical_formula_sum 'Li3 B18 C18'
_cell_length_a 4.6513
_cell_length_b 4.6513
_cell_length_c 24.0835
_cell_angle_alpha 90.00
_cell_angle_beta 90.00
_cell_angle_gamma 120.00
_space_group_name_H-M_alt 'R -3'
_space_group_IT_number 148
_space_group_name_Hall '-R 3'
loop_
_atom_site_label
_atom_site_type_symbol
_atom_site_fract_x
_atom_site_fract_y
_atom_site_fract_z
Li1 Li 0.0000 0.0000 0.0000
B1 B 0.0000 0.3350 0.0806
C1 C 0.0000 0.3322 0.9202
```

=====

iii.
First-principles (PBE) data for crystalline LiB6C6 at its relaxed geometry, as listed in the Alexandria database.

```
data_LiB6C6
_chemical_formula_sum 'Li2 B12 C12'
_cell_length_a 12.2418
_cell_length_b 2.7666
_cell_length_c 6.7052
_cell_angle_alpha 90.00
_cell_angle_beta 111.89
_cell_angle_gamma 90.00
_space_group_name_H-M_alt 'C 1 2/m 1'
_space_group_IT_number 12
loop_
_space_group_symop_operation_xyz
'x,y,z'
'-x,-y,-z'
'-x,y,-z'
'x,-y,z'
'x+1/2,y+1/2,z'
'-x+1/2,-y+1/2,-z'
'-x+1/2,y+1/2,-z'
'x+1/2,-y+1/2,z'
loop_
_atom_site_label
_atom_site_type_symbol
_atom_site_fract_x
_atom_site_fract_y
_atom_site_fract_z
Li1 Li 0.0000 0.0000 0.0000
B1 B 0.0337 0.5000 0.7409
B2 B 0.1207 0.0000 0.5963
B3 B 0.2099 0.0000 0.0757
C1 C 0.0235 0.0000 0.3605
C2 C 0.1503 0.5000 0.9630
C3 C 0.1762 0.5000 0.7134
```

=====

Q: Which of them is the least stable? A: ii.

=====

i.
First-principles (PBE) data for crystalline LiTcB2C at its relaxed geometry, as listed in the Alexandria database.

```
data_LiTcB2C
_chemical_formula_sum 'Li1 Tc1 B2 C1'
_cell_length_a 3.7257
_cell_length_b 3.7257
_cell_length_c 3.2917
_cell_angle_alpha 90.00
_cell_angle_beta 90.00
_cell_angle_gamma 90.00
_space_group_name_H-M_alt 'P 4/m m m'
_space_group_IT_number 123
_space_group_name_Hall '-P 4 2'
loop_
_atom_site_label
_atom_site_type_symbol
_atom_site_fract_x
_atom_site_fract_y
_atom_site_fract_z
Li1 Li 0.0000 0.0000 0.0000
Tc1 Tc 0.5000 0.5000 0.5000
B1 B 0.0000 0.5000 0.0000
C1 C 0.0000 0.0000 0.5000
```

=====

ii.
First-principles (PBE) data for crystalline LiTcB2C at its relaxed geometry, as listed in the Alexandria database.

```
data_LiTcB2C
_chemical_formula_sum 'Li1 Tc1 B2 C1'
_cell_length_a 3.3456
_cell_length_b 3.3456
_cell_length_c 4.0633
_cell_angle_alpha 90.00
_cell_angle_beta 90.00
_cell_angle_gamma 90.00
_space_group_name_H-M_alt 'P 4/m m m'
_space_group_IT_number 123
_space_group_name_Hall '-P 4 2'
loop_
_atom_site_label
_atom_site_type_symbol
_atom_site_fract_x
_atom_site_fract_y
_atom_site_fract_z
Li1 Li 0.0000 0.0000 0.0000
Tc1 Tc 0.5000 0.5000 0.0000
B1 B 0.0000 0.5000 0.5000
C1 C 0.5000 0.5000 0.5000
```

=====

Q: Which of them is the least stable? A: i.

=====

i.
First-principles (PBE) data for crystalline LuBC at its relaxed geometry, as listed in the Alexandria database.

```
data_LuBC
_chemical_formula_sum 'Lu1 B1 C1'
_cell_length_a 2.9934
_cell_length_b 2.9934
_cell_length_c 3.8733
_cell_angle_alpha 90.00
_cell_angle_beta 90.00
_cell_angle_gamma 120.00
_space_group_name_H-M_alt 'P -6 m 2'
_space_group_IT_number 187
_space_group_name_Hall 'P -6 2'
loop_
_atom_site_label
_atom_site_type_symbol
_atom_site_fract_x
_atom_site_fract_y
_atom_site_fract_z
Lu1 Lu 0.0000 0.0000 0.0000
B1 B 0.3333 0.6667 0.5000
C1 C 0.6667 0.3333 0.5000
```

=====

ii.
First-principles (PBE) data for crystalline LuBC at its relaxed geometry, as listed in the Alexandria database.

```
data_LuBC
_chemical_formula_sum 'Lu2 B2 C2'
_cell_length_a 2.7771
_cell_length_b 2.7771
_cell_length_c 8.5305
_cell_angle_alpha 90.00
_cell_angle_beta 90.00
_cell_angle_gamma 90.00
_space_group_name_H-M_alt 'I 4 m m'
_space_group_IT_number 107
_space_group_name_Hall 'I 4 -2'
loop_
_atom_site_label
_atom_site_type_symbol
_atom_site_fract_x
_atom_site_fract_y
_atom_site_fract_z
Lu1 Lu 0.0000 0.0000 0.0000
B1 B 0.0000 0.0000 0.7141
C1 C 0.0000 0.0000 0.2805
```

=====

Q: Which of them is the least stable? A: ii.

=====

i.
First-principles (PBE) data for crystalline Mg14BC at its relaxed geometry, as listed in the Alexandria database.

```
data_Mg14BC
_chemical_formula_sum 'Mg14 B1 C1'
_cell_length_a 6.1908
_cell_length_b 6.1908
_cell_length_c 9.5688
_cell_angle_alpha 90.00
_cell_angle_beta 90.00
_cell_angle_gamma 120.00
_space_group_name_H-M_alt 'P -6 m 2'
_space_group_IT_number 187
_space_group_name_Hall 'P -6 2'
loop_
_atom_site_label
_atom_site_type_symbol
_atom_site_fract_x
_atom_site_fract_y
_atom_site_fract_z
Mg1 Mg 0.0000 0.0000 0.2503
Mg2 Mg 0.0173 0.5086 0.2469
Mg3 Mg 0.3316 0.1658 0.0000
Mg4 Mg 0.3343 0.1671 0.5000
B1 B 0.3333 0.6667 0.5000
C1 C 0.3333 0.6667 0.0000
```

=====

ii.
First-principles (PBE) data for crystalline Mg14BC at its relaxed geometry, as listed in the Alexandria database.

```
data_Mg14BC
_chemical_formula_sum 'Mg28 B2 C2'
_cell_length_a 9.6957
_cell_length_b 6.3703
_cell_length_c 10.8392
_cell_angle_alpha 90.00
_cell_angle_beta 90.00
_cell_angle_gamma 90.00
_space_group_name_H-M_alt 'A m m 2'
_space_group_IT_number 38
loop_
_space_group_symop_operation_xyz
'x,y,z'
'-x,-y,z'
'-x,y,z'
'x,-y,z'
'x,y+1/2,z+1/2'
'-x,-y+1/2,z+1/2'
'-x,y+1/2,z+1/2'
'x,-y+1/2,z+1/2'
loop_
_atom_site_label
_atom_site_type_symbol
_atom_site_fract_x
_atom_site_fract_y
_atom_site_fract_z
Mg1 Mg 0.0000 0.0000 0.0000
Mg2 Mg 0.0000 0.0000 0.4964
Mg3 Mg 0.0000 0.2416 0.7597
Mg4 Mg 0.2409 0.0000 0.1796
Mg5 Mg 0.2567 0.0000 0.6657
Mg6 Mg 0.3423 0.2414 0.9272
Mg7 Mg 0.5000 0.2327 0.1727
B1 B 0.5000 0.0000 0.5233
C1 C 0.5000 0.0000 0.0142
```

=====

Q: Which of them is the least stable? A: i.

=====

i.
First-principles (PBE) data for crystalline MgB3C at its relaxed geometry, as listed in the Alexandria database.

```
data_MgB3C
_chemical_formula_sum 'Mg2 B6 C2'
_cell_length_a 3.5833
_cell_length_b 6.3872
_cell_length_c 3.9758
_cell_angle_alpha 90.00
_cell_angle_beta 90.00
_cell_angle_gamma 90.00
_space_group_name_H-M_alt 'P m n 21'
_space_group_IT_number 31
loop_
_space_group_symop_operation_xyz
'x,y,z'
'-x+1/2,-y,z+1/2'
'-x,y,z'
'x+1/2,-y,z+1/2'
loop_
_atom_site_label
_atom_site_type_symbol
_atom_site_fract_x
_atom_site_fract_y
_atom_site_fract_z
Mg1 Mg 0.0000 0.1127 0.0000
B1 B 0.0000 0.7487 0.1980
B2 B 0.2457 0.3790 0.3913
C1 C 0.0000 0.5948 0.5324
```

=====

ii.
First-principles (PBE) data for crystalline MgB3C at its relaxed geometry, as listed in the Alexandria database.

```
data_MgB3C
_chemical_formula_sum 'Mg1 B3 C1'
_cell_length_a 3.5867
_cell_length_b 3.5867
_cell_length_c 3.5867
_cell_angle_alpha 90.00
_cell_angle_beta 90.00
_cell_angle_gamma 90.00
_space_group_name_H-M_alt 'P m -3 m'
_space_group_IT_number 221
_space_group_name_Hall '-P 4 2 3'
loop_
_atom_site_label
_atom_site_type_symbol
_atom_site_fract_x
_atom_site_fract_y
_atom_site_fract_z
Mg1 Mg 0.0000 0.0000 0.0000
B1 B 0.0000 0.5000 0.5000
C1 C 0.5000 0.5000 0.5000
```

=====

Q: Which of them is the least stable? A: ii.

=====

i.
First-principles (PBE) data for crystalline Mg6BCO8 at its relaxed geometry, as listed in the Alexandria database.

```
data_Mg6BCO8
_chemical_formula_sum 'Mg6 B1 C1 O8'
_cell_length_a 4.1901
_cell_length_b 4.1901
_cell_length_c 8.3984
_cell_angle_alpha 90.00
_cell_angle_beta 90.00
_cell_angle_gamma 90.00
_space_group_name_H-M_alt 'P 4/m m m'
_space_group_IT_number 123
_space_group_name_Hall '-P 4 2'
loop_
_atom_site_label
_atom_site_type_symbol
_atom_site_fract_x
_atom_site_fract_y
_atom_site_fract_z
Mg1 Mg 0.0000 0.0000 0.0000
Mg2 Mg 0.0000 0.5000 0.2618
Mg3 Mg 0.5000 0.5000 0.0000
B1 B 0.0000 0.0000 0.5000
C1 C 0.5000 0.5000 0.5000
O1 O 0.0000 0.0000 0.2709
O2 O 0.0000 0.5000 0.0000
O3 O 0.0000 0.5000 0.5000
O4 O 0.5000 0.5000 0.2474
```

=====

ii.
First-principles (PBE) data for crystalline Mg6BCO8 at its relaxed geometry, as listed in the Alexandria database.

```
data_Mg6BCO8
_chemical_formula_sum 'Mg6 B1 C1 O8'
_cell_length_a 4.2340
_cell_length_b 4.2340
_cell_length_c 8.3160
_cell_angle_alpha 90.00
_cell_angle_beta 90.00
_cell_angle_gamma 90.00
_space_group_name_H-M_alt 'P 4/m m m'
_space_group_IT_number 123
_space_group_name_Hall '-P 4 2'
loop_
_atom_site_label
_atom_site_type_symbol
_atom_site_fract_x
_atom_site_fract_y
_atom_site_fract_z
Mg1 Mg 0.0000 0.0000 0.0000
Mg2 Mg 0.0000 0.0000 0.5000
Mg3 Mg 0.0000 0.5000 0.2433
B1 B 0.5000 0.5000 0.0000
C1 C 0.5000 0.5000 0.5000
O1 O 0.0000 0.0000 0.2526
O2 O 0.0000 0.5000 0.0000
O3 O 0.0000 0.5000 0.5000
O4 O 0.5000 0.5000 0.1713
```

=====

Q: Which of them is the least stable? A: i.

=====

i.
First-principles (PBE) data for crystalline MnBC3 at its relaxed geometry, as listed in the Alexandria database.

```
data_MnBC3
_chemical_formula_sum 'Mn1 B1 C3'
_cell_length_a 3.7351
_cell_length_b 3.7351
_cell_length_c 3.7351
_cell_angle_alpha 90.00
_cell_angle_beta 90.00
_cell_angle_gamma 90.00
_space_group_name_H-M_alt 'P m -3 m'
_space_group_IT_number 221
_space_group_name_Hall '-P 4 2 3'
loop_
_atom_site_label
_atom_site_type_symbol
_atom_site_fract_x
_atom_site_fract_y
_atom_site_fract_z
Mn1 Mn 0.0000 0.0000 0.0000
B1 B 0.5000 0.5000 0.5000
C1 C 0.0000 0.0000 0.5000
```

=====

ii.
First-principles (PBE) data for crystalline MnBC3 at its relaxed geometry, as listed in the Alexandria database.

```
data_MnBC3
_chemical_formula_sum 'Mn1 B1 C3'
_cell_length_a 3.3753
_cell_length_b 3.3753
_cell_length_c 3.3753
_cell_angle_alpha 90.00
_cell_angle_beta 90.00
_cell_angle_gamma 90.00
_space_group_name_H-M_alt 'P m -3 m'
_space_group_IT_number 221
_space_group_name_Hall '-P 4 2 3'
loop_
_atom_site_label
_atom_site_type_symbol
_atom_site_fract_x
_atom_site_fract_y
_atom_site_fract_z
Mn1 Mn 0.0000 0.0000 0.0000
B1 B 0.5000 0.5000 0.5000
C1 C 0.0000 0.5000 0.5000
```

=====

Q: Which of them is the least stable? A: i.

=====

i.
First-principles (PBE) data for crystalline BMo2C at its relaxed geometry, as listed in the Alexandria database.

```
data_BMo2C
_chemical_formula_sum 'B4 Mo8 C4'
_cell_length_a 3.0994
_cell_length_b 17.6038
_cell_length_c 3.0793
_cell_angle_alpha 90.00
_cell_angle_beta 90.00
_cell_angle_gamma 90.00
_space_group_name_H-M_alt 'C m c m'
_space_group_IT_number 63
_space_group_name_Hall '-C 2c 2'
loop_
_atom_site_label
_atom_site_type_symbol
_atom_site_fract_x
_atom_site_fract_y
_atom_site_fract_z
B1 B 0.0000 0.0278 0.2500
Mo1 Mo 0.0000 0.1856 0.2500
Mo2 Mo 0.0000 0.4278 0.2500
C1 C 0.0000 0.3088 0.2500
```

=====

ii.
First-principles (PBE) data for crystalline BMo2C at its relaxed geometry, as listed in the Alexandria database.

```
data_BMo2C
_chemical_formula_sum 'B2 Mo4 C2'
_cell_length_a 4.7890
_cell_length_b 2.8459
_cell_length_c 6.4430
_cell_angle_alpha 90.00
_cell_angle_beta 109.41
_cell_angle_gamma 90.00
_space_group_name_H-M_alt 'P 1 21/m 1'
_space_group_IT_number 11
loop_
_space_group_symop_operation_xyz
'x,y,z'
'-x,-y,-z'
'-x,y+1/2,-z'
'x,-y+1/2,z'
loop_
_atom_site_label
_atom_site_type_symbol
_atom_site_fract_x
_atom_site_fract_y
_atom_site_fract_z
B1 B 0.1817 0.2500 0.2966
Mo1 Mo 0.2704 0.7500 0.0310
Mo2 Mo 0.2976 0.7500 0.6061
C1 C 0.0234 0.2500 0.7458
```

=====

Q: Which of them is the least stable? A: ii.

=====

i.
First-principles (PBE) data for crystalline BMo2C at its relaxed geometry, as listed in the Alexandria database.

```
data_BMo2C
_chemical_formula_sum 'B3 Mo6 C3'
_cell_length_a 3.1468
_cell_length_b 3.1468
_cell_length_c 15.3070
_cell_angle_alpha 90.00
_cell_angle_beta 90.00
_cell_angle_gamma 120.00
_space_group_name_H-M_alt 'R -3 m'
_space_group_IT_number 166
_space_group_name_Hall '-R 3 2"'
loop_
_atom_site_label
_atom_site_type_symbol
_atom_site_fract_x
_atom_site_fract_y
_atom_site_fract_z
B1 B 0.0000 0.0000 0.0000
Mo1 Mo 0.0000 0.0000 0.2420
C1 C 0.0000 0.0000 0.5000
```

=====

ii.
First-principles (PBE) data for crystalline BMo2C at its relaxed geometry, as listed in the Alexandria database.

```
data_BMo2C
_chemical_formula_sum 'B4 Mo8 C4'
_cell_length_a 4.7538
_cell_length_b 4.7538
_cell_length_c 9.5857
_cell_angle_alpha 90.00
_cell_angle_beta 90.00
_cell_angle_gamma 90.00
_space_group_name_H-M_alt 'I -4 2 d'
_space_group_IT_number 122
_space_group_name_Hall 'I -4 2bw'
loop_
_atom_site_label
_atom_site_type_symbol
_atom_site_fract_x
_atom_site_fract_y
_atom_site_fract_z
B1 B 0.0000 0.0000 0.0000
Mo1 Mo 0.2358 0.2500 0.6250
C1 C 0.0000 0.0000 0.5000
```

=====

Q: Which of them is the least stable? A: ii.